# MgOs2Pb | Alexandria | GGA-PBE | relaxed
data_MgOs2Pb
_chemical_formula_sum 'Mg1 Os2 Pb1'
_cell_length_a 2.9438
_cell_length_b 4.5591
_cell_length_c 5.4652
_cell_angle_alpha 90.00
_cell_angle_beta 91.27
_cell_angle_gamma 90.00
_symmetry_space_group_name_H-M 'P 1 2/m 1'
_symmetry_Int_Tables_number 10
_symmetry_space_group_name_Hall '-P 2y'
loop_
_atom_site_label
_atom_site_type_symbol
_atom_site_fract_x
_atom_site_fract_y
_atom_site_fract_z
Mg1 Mg 0.0000 0.0000 0.0000
Os1 Os 0.2979 0.5000 0.1977
Pb1 Pb 0.5000 0.0000 0.5000
# energy of formation from the pure elements: 684 meV/atom
# raw total energy: -6.256 eV per atom
# crystal system: monoclinic

# DySi2Ni | Alexandria | GGA-PBE | relaxed
data_DySi2Ni
_chemical_formula_sum 'Dy2 Si4 Ni2'
_cell_length_a 3.9989
_cell_length_b 3.9650
_cell_length_c 8.4645
_cell_angle_alpha 90.00
_cell_angle_beta 103.66
_cell_angle_gamma 90.00
_symmetry_space_group_name_H-M 'P 1 21/m 1'
_symmetry_Int_Tables_number 11
_symmetry_space_group_name_Hall '-P 2yb'
loop_
_atom_site_label
_atom_site_type_symbol
_atom_site_fract_x
_atom_site_fract_y
_atom_site_fract_z
Dy1 Dy 0.1052 0.2500 0.2103
Si1 Si 0.2509 0.7500 0.4998
Si2 Si 0.4601 0.2500 0.9193
Ni1 Ni 0.3211 0.2500 0.6444
# uncorrected formation energy: -0.841 eV per atom
# raw total energy: -6.148 eV per atom
# crystal system: monoclinic

# CrP4Au | Alexandria | GGA-PBE | relaxed
data_CrP4Au
_chemical_formula_sum 'Cr4 P16 Au4'
_cell_length_a 7.3272
_cell_length_b 7.3272
_cell_length_c 7.3272
_cell_angle_alpha 90.00
_cell_angle_beta 90.00
_cell_angle_gamma 90.00
_symmetry_space_group_name_H-M 'F -4 3 m'
_symmetry_Int_Tables_number 216
_symmetry_space_group_name_Hall 'F -4 2 3'
loop_
_atom_site_label
_atom_site_type_symbol
_atom_site_fract_x
_atom_site_fract_y
_atom_site_fract_z
Cr1 Cr 0.0000 0.0000 0.0000
P1 P 0.1154 0.1154 0.3846
Au1 Au 0.2500 0.2500 0.7500
# energy of formation from the pure elements: 646 meV/atom
# raw total energy: -5.111 eV per atom
# crystal system: cubic

# La5CePm2Nd | Alexandria | GGA-PBE | relaxed
data_La5CePm2Nd
_chemical_formula_sum 'La10 Ce2 Pm4 Nd2'
_cell_length_a 8.2842
_cell_length_b 8.2842
_cell_length_c 9.4646
_cell_angle_alpha 90.00
_cell_angle_beta 90.00
_cell_angle_gamma 90.00
_symmetry_space_group_name_H-M 'P 4/m b m'
_symmetry_Int_Tables_number 127
_symmetry_space_group_name_Hall '-P 4 2ab'
loop_
_atom_site_label
_atom_site_type_symbol
_atom_site_fract_x
_atom_site_fract_y
_atom_site_fract_z
La1 La 0.0000 0.0000 0.0000
La2 La 0.1939 0.3061 0.2752
Ce1 Ce 0.0000 0.5000 0.5000
Pm1 Pm 0.1298 0.6298 0.0000
Nd1 Nd 0.0000 0.0000 0.5000
# energy of formation from the pure elements: 260 meV/atom
# raw total energy: -4.723 eV per atom
# crystal system: tetragonal

# Pr4Cd2N | Alexandria | GGA-PBE | relaxed
data_Pr4Cd2N
_chemical_formula_sum 'Pr8 Cd4 N2'
_cell_length_a 5.1346
_cell_length_b 5.1346
_cell_length_c 15.3860
_cell_angle_alpha 90.00
_cell_angle_beta 90.00
_cell_angle_gamma 90.00
_symmetry_space_group_name_H-M 'I 4/m m m'
_symmetry_Int_Tables_number 139
_symmetry_space_group_name_Hall '-I 4 2'
loop_
_atom_site_label
_atom_site_type_symbol
_atom_site_fract_x
_atom_site_fract_y
_atom_site_fract_z
Pr1 Pr 0.0000 0.0000 0.1634
Pr2 Pr 0.0000 0.5000 0.0000
Cd1 Cd 0.0000 0.0000 0.3699
N1 N 0.0000 0.0000 0.0000
# uncorrected formation energy: -0.490 eV per atom
# distance to the lowest polymorph of the same formula: 0.000 eV/f.u.
# raw total energy: -4.672 eV per atom
# crystal system: tetragonal

# Tb5CuIr4 | Alexandria | GGA-PBE | relaxed
data_Tb5CuIr4
_chemical_formula_sum 'Tb5 Cu1 Ir4'
_cell_length_a 3.4449
_cell_length_b 3.4449
_cell_length_c 17.4452
_cell_angle_alpha 90.00
_cell_angle_beta 90.00
_cell_angle_gamma 90.00
_symmetry_space_group_name_H-M 'P 4/m m m'
_symmetry_Int_Tables_number 123
_symmetry_space_group_name_Hall '-P 4 2'
loop_
_atom_site_label
_atom_site_type_symbol
_atom_site_fract_x
_atom_site_fract_y
_atom_site_fract_z
Tb1 Tb 0.0000 0.0000 0.0000
Tb2 Tb 0.0000 0.0000 0.1982
Tb3 Tb 0.0000 0.0000 0.3945
Cu1 Cu 0.5000 0.5000 0.5000
Ir1 Ir 0.5000 0.5000 0.0996
Ir2 Ir 0.5000 0.5000 0.2999
# energy of formation from the pure elements: -676 meV/atom
# raw total energy: -6.945 eV per atom
# crystal system: tetragonal

# ZnIrOs2 | Alexandria | GGA-PBE | relaxed
data_ZnIrOs2
_chemical_formula_sum 'Zn1 Ir1 Os2'
_cell_length_a 2.7709
_cell_length_b 3.8098
_cell_length_c 5.4230
_cell_angle_alpha 90.00
_cell_angle_beta 90.00
_cell_angle_gamma 90.00
_symmetry_space_group_name_H-M 'P m m 2'
_symmetry_Int_Tables_number 25
_symmetry_space_group_name_Hall 'P 2 -2'
loop_
_atom_site_label
_atom_site_type_symbol
_atom_site_fract_x
_atom_site_fract_y
_atom_site_fract_z
Zn1 Zn 0.0000 0.0000 0.0000
Ir1 Ir 0.5000 0.5000 0.2302
Os1 Os 0.0000 0.0000 0.5086
Os2 Os 0.5000 0.5000 0.7319
# energy of formation from the pure elements: 124 meV/atom
# raw total energy: -8.025 eV per atom
# crystal system: orthorhombic

# Sr2Ge2Au | Alexandria | GGA-PBE | relaxed
data_Sr2Ge2Au
_chemical_formula_sum 'Sr4 Ge4 Au2'
_cell_length_a 3.8811
_cell_length_b 3.8811
_cell_length_c 18.5233
_cell_angle_alpha 90.00
_cell_angle_beta 90.00
_cell_angle_gamma 90.00
_symmetry_space_group_name_H-M 'I 4/m m m'
_symmetry_Int_Tables_number 139
_symmetry_space_group_name_Hall '-I 4 2'
loop_
_atom_site_label
_atom_site_type_symbol
_atom_site_fract_x
_atom_site_fract_y
_atom_site_fract_z
Sr1 Sr 0.0000 0.0000 0.1039
Ge1 Ge 0.0000 0.5000 0.2500
Au1 Au 0.0000 0.0000 0.5000
# energy of formation from the pure elements: -390 meV/atom
# distance to the lowest polymorph of the same formula: 1.368 eV/f.u.
# raw total energy: -3.565 eV per atom
# crystal system: tetragonal

# KPb2Cl5 | Alexandria | GGA-PBE | relaxed
data_KPb2Cl5
_chemical_formula_sum 'K4 Pb8 Cl20'
_cell_length_a 14.7269
_cell_length_b 7.9258
_cell_length_c 10.5622
_cell_angle_alpha 90.00
_cell_angle_beta 111.68
_cell_angle_gamma 90.00
_symmetry_space_group_name_H-M 'C 1 2/c 1'
_symmetry_Int_Tables_number 15
_symmetry_space_group_name_Hall '-C 2yc'
loop_
_atom_site_label
_atom_site_type_symbol
_atom_site_fract_x
_atom_site_fract_y
_atom_site_fract_z
K1 K 0.0000 0.0000 0.0000
Pb1 Pb 0.1250 0.4954 0.2106
Cl1 Cl 0.0000 0.2302 0.2500
Cl2 Cl 0.0811 0.3531 0.9410
Cl3 Cl 0.1990 0.1799 0.6660
# uncorrected formation energy: -1.362 eV per atom
# distance to the lowest polymorph of the same formula: 0.074 eV/f.u.
# raw total energy: -3.581 eV per atom
# crystal system: monoclinic

# Cs2AsAu | Alexandria | GGA-PBE | relaxed
data_Cs2AsAu
_chemical_formula_sum 'Cs8 As4 Au4'
_cell_length_a 13.1070
_cell_length_b 13.1070
_cell_length_c 5.0719
_cell_angle_alpha 90.00
_cell_angle_beta 90.00
_cell_angle_gamma 90.00
_symmetry_space_group_name_H-M 'I -4 2 d'
_symmetry_Int_Tables_number 122
_symmetry_space_group_name_Hall 'I -4 2bw'
loop_
_atom_site_label
_atom_site_type_symbol
_atom_site_fract_x
_atom_site_fract_y
_atom_site_fract_z
Cs1 Cs 0.0768 0.2500 0.1250
As1 As 0.0000 0.0000 0.5000
Au1 Au 0.0000 0.0000 0.0000
# energy of formation from the pure elements: -260 meV/atom
# raw total energy: -2.669 eV per atom
# crystal system: tetragonal

# CsCeNiBr6 | Alexandria | GGA-PBE | relaxed
data_CsCeNiBr6
_chemical_formula_sum 'Cs1 Ce1 Ni1 Br6'
_cell_length_a 7.1364
_cell_length_b 7.1364
_cell_length_c 8.2235
_cell_angle_alpha 90.00
_cell_angle_beta 90.00
_cell_angle_gamma 120.00
_symmetry_space_group_name_H-M 'P 3 1 2'
_symmetry_Int_Tables_number 149
_symmetry_space_group_name_Hall 'P 3 2'
loop_
_atom_site_label
_atom_site_type_symbol
_atom_site_fract_x
_atom_site_fract_y
_atom_site_fract_z
Cs1 Cs 0.0000 0.0000 0.0000
Ce1 Ce 0.3333 0.6667 0.5000
Ni1 Ni 0.6667 0.3333 0.5000
Br1 Br 0.3832 0.0290 0.6902
# uncorrected formation energy: -1.308 eV per atom
# raw total energy: -3.819 eV per atom
# crystal system: trigonal

# Cr2AsSe | Alexandria | GGA-PBE | relaxed
data_Cr2AsSe
_chemical_formula_sum 'Cr6 As3 Se3'
_cell_length_a 3.6682
_cell_length_b 3.6682
_cell_length_c 18.7894
_cell_angle_alpha 90.00
_cell_angle_beta 90.00
_cell_angle_gamma 120.00
_symmetry_space_group_name_H-M 'R 3 m'
_symmetry_Int_Tables_number 160
_symmetry_space_group_name_Hall 'R 3 -2"'
loop_
_atom_site_label
_atom_site_type_symbol
_atom_site_fract_x
_atom_site_fract_y
_atom_site_fract_z
Cr1 Cr 0.0000 0.0000 0.0000
Cr2 Cr 0.0000 0.0000 0.1769
As1 As 0.0000 0.0000 0.5868
Se1 Se 0.0000 0.0000 0.7607
# uncorrected formation energy: -0.079 eV per atom
# distance to the lowest polymorph of the same formula: 0.658 eV/f.u.
# raw total energy: -6.924 eV per atom
# crystal system: trigonal

# In2PAu | Alexandria | GGA-PBE | relaxed
data_In2PAu
_chemical_formula_sum 'In4 P2 Au2'
_cell_length_a 5.8863
_cell_length_b 7.7318
_cell_length_c 4.0062
_cell_angle_alpha 90.00
_cell_angle_beta 107.05
_cell_angle_gamma 90.00
_symmetry_space_group_name_H-M 'C 1 2/m 1'
_symmetry_Int_Tables_number 12
_symmetry_space_group_name_Hall '-C 2y'
loop_
_atom_site_label
_atom_site_type_symbol
_atom_site_fract_x
_atom_site_fract_y
_atom_site_fract_z
In1 In 0.2500 0.2500 0.0000
P1 P 0.0000 0.0000 0.5000
Au1 Au 0.0000 0.5000 0.5000
# energy of formation from the pure elements: 126 meV/atom
# raw total energy: -3.415 eV per atom
# crystal system: monoclinic

# LiScInSn | Alexandria | GGA-PBE | relaxed
data_LiScInSn
_chemical_formula_sum 'Li1 Sc1 In1 Sn1'
_cell_length_a 4.2244
_cell_length_b 4.4016
_cell_length_c 4.5569
_cell_angle_alpha 90.00
_cell_angle_beta 90.00
_cell_angle_gamma 90.00
_symmetry_space_group_name_H-M 'P m m m'
_symmetry_Int_Tables_number 47
_symmetry_space_group_name_Hall '-P 2 2'
loop_
_atom_site_label
_atom_site_type_symbol
_atom_site_fract_x
_atom_site_fract_y
_atom_site_fract_z
Li1 Li 0.0000 0.0000 0.0000
Sc1 Sc 0.0000 0.5000 0.5000
In1 In 0.5000 0.5000 0.0000
Sn1 Sn 0.5000 0.0000 0.5000
# energy of formation from the pure elements: -460 meV/atom
# distance to the lowest polymorph of the same formula: 0.000 eV/f.u.
# raw total energy: -4.206 eV per atom
# crystal system: orthorhombic

# BaLaAu3 | Alexandria | GGA-PBE | relaxed
data_BaLaAu3
_chemical_formula_sum 'Ba4 La4 Au12'
_cell_length_a 4.1691
_cell_length_b 29.3515
_cell_length_c 4.7305
_cell_angle_alpha 90.00
_cell_angle_beta 90.00
_cell_angle_gamma 90.00
_symmetry_space_group_name_H-M 'C m c m'
_symmetry_Int_Tables_number 63
_symmetry_space_group_name_Hall '-C 2c 2'
loop_
_atom_site_label
_atom_site_type_symbol
_atom_site_fract_x
_atom_site_fract_y
_atom_site_fract_z
Ba1 Ba 0.0000 0.0733 0.2500
La1 La 0.0000 0.2032 0.7500
Au1 Au 0.0000 0.3112 0.7500
Au2 Au 0.0000 0.3758 0.2500
Au3 Au 0.0000 0.4731 0.2500
# energy of formation from the pure elements: -777 meV/atom
# distance to the lowest polymorph of the same formula: 0.000 eV/f.u.
# raw total energy: -4.113 eV per atom
# crystal system: orthorhombic

# SmZnPdPb | Alexandria | GGA-PBE | relaxed
data_SmZnPdPb
_chemical_formula_sum 'Sm4 Zn4 Pd4 Pb4'
_cell_length_a 7.0291
_cell_length_b 7.0291
_cell_length_c 7.0291
_cell_angle_alpha 90.00
_cell_angle_beta 90.00
_cell_angle_gamma 90.00
_symmetry_space_group_name_H-M 'F -4 3 m'
_symmetry_Int_Tables_number 216
_symmetry_space_group_name_Hall 'F -4 2 3'
loop_
_atom_site_label
_atom_site_type_symbol
_atom_site_fract_x
_atom_site_fract_y
_atom_site_fract_z
Sm1 Sm 0.0000 0.0000 0.0000
Zn1 Zn 0.2500 0.2500 0.2500
Pd1 Pd 0.2500 0.2500 0.7500
Pb1 Pb 0.0000 0.0000 0.5000
# energy of formation from the pure elements: -482 meV/atom
# raw total energy: -4.205 eV per atom
# crystal system: cubic

# SrRuCl2 | Alexandria | GGA-PBE | relaxed
data_SrRuCl2
_chemical_formula_sum 'Sr2 Ru2 Cl4'
_cell_length_a 11.1445
_cell_length_b 3.6486
_cell_length_c 5.0662
_cell_angle_alpha 90.00
_cell_angle_beta 93.17
_cell_angle_gamma 90.00
_symmetry_space_group_name_H-M 'C 1 m 1'
_symmetry_Int_Tables_number 8
_symmetry_space_group_name_Hall 'C -2y'
loop_
_atom_site_label
_atom_site_type_symbol
_atom_site_fract_x
_atom_site_fract_y
_atom_site_fract_z
Sr1 Sr 0.0000 0.0000 0.0000
Ru1 Ru 0.3065 0.0000 0.2351
Cl1 Cl 0.2235 0.5000 0.0100
Cl2 Cl 0.4871 0.0000 0.5236
# uncorrected formation energy: -0.624 eV per atom
# distance to the lowest polymorph of the same formula: 0.463 eV/f.u.
# raw total energy: -4.287 eV per atom
# crystal system: monoclinic

# LiTmTlBi | Alexandria | GGA-PBE | relaxed
data_LiTmTlBi
_chemical_formula_sum 'Li4 Tm4 Tl4 Bi4'
_cell_length_a 7.4775
_cell_length_b 7.4775
_cell_length_c 7.4775
_cell_angle_alpha 90.00
_cell_angle_beta 90.00
_cell_angle_gamma 90.00
_symmetry_space_group_name_H-M 'F -4 3 m'
_symmetry_Int_Tables_number 216
_symmetry_space_group_name_Hall 'F -4 2 3'
loop_
_atom_site_label
_atom_site_type_symbol
_atom_site_fract_x
_atom_site_fract_y
_atom_site_fract_z
Li1 Li 0.0000 0.0000 0.0000
Tm1 Tm 0.0000 0.0000 0.5000
Tl1 Tl 0.2500 0.2500 0.2500
Bi1 Bi 0.2500 0.2500 0.7500
# energy of formation from the pure elements: -316 meV/atom
# raw total energy: -3.475 eV per atom
# crystal system: cubic

# CeCdS | Alexandria | GGA-PBE | relaxed
data_CeCdS
_chemical_formula_sum 'Ce6 Cd6 S6'
_cell_length_a 4.8245
_cell_length_b 4.8245
_cell_length_c 23.3704
_cell_angle_alpha 90.00
_cell_angle_beta 90.00
_cell_angle_gamma 120.00
_symmetry_space_group_name_H-M 'R -3 m'
_symmetry_Int_Tables_number 166
_symmetry_space_group_name_Hall '-R 3 2"'
loop_
_atom_site_label
_atom_site_type_symbol
_atom_site_fract_x
_atom_site_fract_y
_atom_site_fract_z
Ce1 Ce 0.0000 0.0000 0.0929
Cd1 Cd 0.0000 0.0000 0.3352
S1 S 0.0000 0.0000 0.2143
# uncorrected formation energy: -1.119 eV per atom
# raw total energy: -4.778 eV per atom
# crystal system: trigonal

# CsScSe2 | Alexandria | GGA-PBE | relaxed
data_CsScSe2
_chemical_formula_sum 'Cs1 Sc1 Se2'
_cell_length_a 4.0861
_cell_length_b 4.0861
_cell_length_c 8.8285
_cell_angle_alpha 90.00
_cell_angle_beta 90.00
_cell_angle_gamma 120.00
_symmetry_space_group_name_H-M 'P 3 m 1'
_symmetry_Int_Tables_number 156
_symmetry_space_group_name_Hall 'P 3 -2"'
loop_
_atom_site_label
_atom_site_type_symbol
_atom_site_fract_x
_atom_site_fract_y
_atom_site_fract_z
Cs1 Cs 0.0000 0.0000 0.0000
Sc1 Sc 0.6667 0.3333 0.5454
Se1 Se 0.0000 0.0000 0.3896
Se2 Se 0.3333 0.6667 0.7190
# uncorrected formation energy: -1.476 eV per atom
# raw total energy: -5.014 eV per atom
# crystal system: trigonal

# MnTlOs2 | Alexandria | GGA-PBE | relaxed
data_MnTlOs2
_chemical_formula_sum 'Mn2 Tl2 Os4'
_cell_length_a 2.9308
_cell_length_b 4.9061
_cell_length_c 9.3199
_cell_angle_alpha 90.00
_cell_angle_beta 90.00
_cell_angle_gamma 90.00
_symmetry_space_group_name_H-M 'C m m 2'
_symmetry_Int_Tables_number 35
_symmetry_space_group_name_Hall 'C 2 -2'
loop_
_atom_site_label
_atom_site_type_symbol
_atom_site_fract_x
_atom_site_fract_y
_atom_site_fract_z
Mn1 Mn 0.0000 0.0000 0.0000
Tl1 Tl 0.0000 0.5000 0.2703
Os1 Os 0.0000 0.0000 0.5454
Os2 Os 0.0000 0.5000 0.7777
# energy of formation from the pure elements: 838 meV/atom
# distance to the lowest polymorph of the same formula: 1.415 eV/f.u.
# raw total energy: -7.661 eV per atom
# crystal system: orthorhombic